VASP calculation (PBE-GGA) on KPBr2 after structural relaxation.

Lattice parameters (Å, degrees): 4.7233 4.7233 18.6219 90.00 90.00 120.00
With the nearest neighbours (Å) after each atom.
Fractional coordinates of all 12 atoms:
K  0.0000  0.0000  0.0000  6 Br 3.34
K  0.3333  0.6667  0.6667  6 Br 3.34
K  0.6667  0.3333  0.3333  6 Br 3.34
P  0.0000  0.0000  0.5000  6 Br 2.97
P  0.3333  0.6667  0.1667  6 Br 2.97
P  0.6667  0.3333  0.8333  6 Br 2.97
Br  0.0000  0.0000  0.2295  3 P 2.97
Br  0.0000  0.0000  0.7705  3 P 2.97
Br  0.3333  0.6667  0.4371  3 P 2.97
Br  0.3333  0.6667  0.8962  3 P 2.97
Br  0.6667  0.3333  0.1038  3 P 2.97
Br  0.6667  0.3333  0.5629  3 P 2.97

- Uncorrected energy: -0.197 Ry/atom
- Raw formation energy: -0.2112 eV/atom
- DOS(E_F): 8.57 states/eV/cell
- Excess energy over the best structure of this formula in the dataset: 257 meV/atom


VASP calculation (PBE-GGA) on KP2Br after structural relaxation.

Lattice parameters (Å, degrees): 3.7223 3.7223 24.4311 90.00 90.00 120.00
With the nearest neighbours (Å) after each atom.
Fractional coordinates of all 12 atoms:
K  0.0000  0.0000  0.0000  3 Br 3.08, 3 P 3.36
K  0.3333  0.6667  0.6667  3 Br 3.08, 3 P 3.36
K  0.6667  0.3333  0.3333  3 Br 3.08, 3 P 3.36
P  0.0000  0.0000  0.4852  3 P 2.42
P  0.0000  0.0000  0.7726  3 P 2.42
P  0.3333  0.6667  0.1519  3 P 2.42
P  0.3333  0.6667  0.4393  3 P 2.42
P  0.6667  0.3333  0.1059  3 P 2.42
P  0.6667  0.3333  0.8185  3 P 2.42
Br  0.0000  0.0000  0.2429  3 K 3.08, 3 P 3.09
Br  0.3333  0.6667  0.9096  3 K 3.08, 3 P 3.09
Br  0.6667  0.3333  0.5762  3 K 3.08, 3 P 3.09

- Uncorrected energy: -0.277 Ry/atom
- Raw formation energy: -0.3767 eV/atom
- DOS(E_F): 0.50 states/eV/cell
- Excess energy over the best structure of this formula in the dataset: 67 meV/atom


VASP calculation (PBE-GGA) on KP2Br after structural relaxation.

Lattice parameters (Å, degrees): 3.3012 6.5929 10.5452 90.00 90.00 90.00
With the nearest neighbours (Å) after each atom.
Fractional coordinates of all 8 atoms:
K  0.0000  0.0000  0.0000  2 Br 3.25, 2 K 3.30, 2 P 3.52
K  0.5000  0.5000  0.5000  2 Br 3.25, 2 K 3.30, 2 P 3.52
P  0.0000  0.0000  0.5752  2 P 2.15
P  0.0000  0.5000  0.2055  2 P 2.15
P  0.5000  0.0000  0.7055  2 P 2.15
P  0.5000  0.5000  0.0752  2 P 2.15
Br  0.0000  0.5000  0.7659  2 K 3.25, 2 Br 3.30
Br  0.5000  0.0000  0.2659  2 K 3.25, 2 Br 3.30

- Uncorrected energy: -0.275 Ry/atom
- Raw formation energy: -0.3498 eV/atom
- DOS(E_F): 2.98 states/eV/cell
- Excess energy over the best structure of this formula in the dataset: 94 meV/atom


VASP calculation (PBE-GGA) on K2P2Br after structural relaxation.

Lattice parameters (Å, degrees): 3.6293 3.6293 19.4026 90.00 90.00 90.00
With the nearest neighbours (Å) after each atom.
Fractional coordinates of all 10 atoms:
K  0.0000  0.0000  0.1063  4 Br 3.29, 4 P 3.33, 4 K 3.63
K  0.0000  0.0000  0.8937  4 Br 3.29, 4 P 3.33, 4 K 3.63
K  0.5000  0.5000  0.3937  4 Br 3.29, 4 P 3.33, 4 K 3.63
K  0.5000  0.5000  0.6063  4 Br 3.29, 4 P 3.33, 4 K 3.63
P  0.0000  0.5000  0.2500  4 P 2.57
P  0.0000  0.5000  0.7500  4 P 2.57
P  0.5000  0.0000  0.2500  4 P 2.57
P  0.5000  0.0000  0.7500  4 P 2.57
Br  0.0000  0.0000  0.5000  8 K 3.29, 4 Br 3.63
Br  0.5000  0.5000  0.0000  8 K 3.29, 4 Br 3.63

- Uncorrected energy: -0.263 Ry/atom
- Raw formation energy: -0.6431 eV/atom
- DOS(E_F): 2.25 states/eV/cell
- Excess energy over the best structure of this formula in the dataset: 0 meV/atom


VASP calculation (PBE-GGA) on K3PBr after structural relaxation.

Lattice parameters (Å, degrees): 6.1469 6.1469 6.1469 90.00 90.00 90.00
With the nearest neighbours (Å) after each atom.
Fractional coordinates of all 5 atoms:
K  0.0000  0.0000  0.5000  2 P 3.07
K  0.0000  0.5000  0.0000  2 P 3.07
K  0.5000  0.0000  0.0000  2 P 3.07
P  0.0000  0.0000  0.0000  6 K 3.07
Br  0.5000  0.5000  0.5000  12 K 4.35

- Uncorrected energy: -0.194 Ry/atom
- Raw formation energy: -0.5710 eV/atom
- DOS(E_F): 4.83 states/eV/cell
- Excess energy over the best structure of this formula in the dataset: 0 meV/atom


VASP calculation (PBE-GGA) on KP2Br after structural relaxation.

Lattice parameters (Å, degrees): 3.1952 3.1952 8.7552 90.00 90.00 90.00
With the nearest neighbours (Å) after each atom.
Fractional coordinates of all 4 atoms:
K  0.0000  0.0000  0.0000  4 K 3.20, 8 P 3.34
P  0.5000  0.5000  0.2804  4 Br 2.97, 4 P 3.20
P  0.5000  0.5000  0.7196  4 Br 2.97, 4 P 3.20
Br  0.0000  0.0000  0.5000  8 P 2.97, 4 Br 3.20

- Uncorrected energy: -0.192 Ry/atom
- Raw formation energy: 0.7864 eV/atom
- DOS(E_F): 3.14 states/eV/cell
- Excess energy over the best structure of this formula in the dataset: 1230 meV/atom


VASP calculation (PBE-GGA) on KPBr2 after structural relaxation.

Lattice parameters (Å, degrees): 4.0776 4.3404 7.3737 90.00 90.00 90.00
With the nearest neighbours (Å) after each atom.
Fractional coordinates of all 4 atoms:
K  0.0000  0.0000  0.0000  4 Br 2.98
P  0.0000  0.5000  0.5000  4 Br 2.98
Br  0.5000  0.0000  0.5000  4 P 2.98
Br  0.5000  0.5000  0.0000  4 K 2.98

- Uncorrected energy: -0.197 Ry/atom
- Raw formation energy: -0.2128 eV/atom
- DOS(E_F): 1.22 states/eV/cell
- Excess energy over the best structure of this formula in the dataset: 255 meV/atom


VASP calculation (PBE-GGA) on KPBr2 after structural relaxation.

Lattice parameters (Å, degrees): 4.4546 7.1298 5.0277 90.00 90.47 90.00
With the nearest neighbours (Å) after each atom.
Fractional coordinates of all 4 atoms:
K  0.0000  0.0000  0.0000  6 Br 3.34-3.57
P  0.2688  0.5000  0.4208  1 Br 2.24
Br  0.0518  0.5000  0.0179  1 P 2.24
Br  0.5019  0.0000  0.5005  4 K 3.34-3.38, 2 P 3.73

- Uncorrected energy: -0.210 Ry/atom
- Raw formation energy: -0.3975 eV/atom
- Excess energy over the best structure of this formula in the dataset: 71 meV/atom